[1]
# PaPd3Se6

Crystalline PaPd3Se6 at its relaxed geometry (PBE, Alexandria via LeMat-Bulk).

Unit cell a=10.4690 b=4.0849 c=10.7111 alpha=90.00 beta=107.43 gamma=90.00
Last column: nearest neighbours and their distance in Å.
Fractional coordinates of all 20 atoms:
Pa: 0.2079 0.2500 0.0625  8 Se 2.83-3.03
Pa: 0.7921 0.7500 0.9375  8 Se 2.83-3.03
Pd: 0.0112 0.2500 0.6483  5 Se 2.50-2.75
Pd: 0.3416 0.2500 0.4332  6 Se 2.55-2.80
Pd: 0.4186 0.7500 0.8290  6 Se 2.57-2.74
Pd: 0.5814 0.2500 0.1710  6 Se 2.57-2.74
Pd: 0.6584 0.7500 0.5668  6 Se 2.55-2.80
Pd: 0.9888 0.7500 0.3517  5 Se 2.50-2.75
Se: 0.0563 0.7500 0.9015  3 Pa 2.83-2.90
Se: 0.1079 0.2500 0.4614  4 Pd 2.50-2.55
Se: 0.2101 0.7500 0.2642  3 Pd 2.75-2.80, 2 Pa 2.97
Se: 0.2563 0.2500 0.7976  3 Pd 2.58-2.61
Se: 0.4059 0.7500 0.0699  3 Pd 2.62-2.74, 2 Pa 2.89
Se: 0.4235 0.7500 0.5908  4 Pd 2.55-2.62
Se: 0.5765 0.2500 0.4092  4 Pd 2.55-2.62
Se: 0.5941 0.2500 0.9301  3 Pd 2.62-2.74, 2 Pa 2.89
Se: 0.7437 0.7500 0.2024  3 Pd 2.58-2.61
Se: 0.7899 0.2500 0.7358  3 Pd 2.75-2.80, 2 Pa 2.97
Se: 0.8921 0.7500 0.5386  4 Pd 2.50-2.55
Se: 0.9437 0.2500 0.0985  3 Pa 2.83-2.90

Values from the calculation:
Formation energy from raw total energies in eV per atom: -0.54

***

[2]
# HfRu2N2

Crystalline HfRu2N2 at its relaxed geometry (PBE, Alexandria via LeMat-Bulk).

Unit cell a=3.7109 b=3.7109 c=9.2530 alpha=90.00 beta=90.00 gamma=90.00
Last column: nearest neighbours and their distance in Å.
Fractional coordinates of all 10 atoms:
Hf: 0.0000 0.0000 0.0000  8 N 2.93, 8 Ru 2.97
Hf: 0.5000 0.5000 0.5000  8 N 2.93, 8 Ru 2.97
Ru: 0.0000 0.5000 0.2500  4 N 2.12
Ru: 0.0000 0.5000 0.7500  4 N 2.12
Ru: 0.5000 0.0000 0.2500  4 N 2.12
Ru: 0.5000 0.0000 0.7500  4 N 2.12
N: 0.0000 0.0000 0.3602  4 Ru 2.12
N: 0.0000 0.0000 0.6398  4 Ru 2.12
N: 0.5000 0.5000 0.1398  4 Ru 2.12
N: 0.5000 0.5000 0.8602  4 Ru 2.12

Values from the calculation:
ΔE to the lowest computed polymorph in eV per atom: 0.747
Formation energy from raw total energies in eV per atom: 0.44

***

[3]
# KLa4

Crystalline KLa4 at its relaxed geometry (PBE, Alexandria via LeMat-Bulk).

Unit cell a=7.6275 b=7.6275 c=7.6275 alpha=90.00 beta=90.00 gamma=90.00
Last column: nearest neighbours and their distance in Å.
Fractional coordinates of all 10 atoms:
K: 0.0000 0.0000 0.0000  8 La 3.30
K: 0.5000 0.5000 0.5000  8 La 3.30
La: 0.2500 0.2500 0.2500  2 K 3.30
La: 0.2500 0.2500 0.7500  2 K 3.30
La: 0.2500 0.7500 0.2500  2 K 3.30
La: 0.2500 0.7500 0.7500  2 K 3.30
La: 0.7500 0.2500 0.2500  2 K 3.30
La: 0.7500 0.2500 0.7500  2 K 3.30
La: 0.7500 0.7500 0.2500  2 K 3.30
La: 0.7500 0.7500 0.7500  2 K 3.30

Values from the calculation:
ΔE to the lowest computed polymorph in eV per atom: 0.190
ΔE_f in eV/f.u.: 5.375

***

[4]
# PaN4

Crystalline PaN4 at its relaxed geometry (PBE, Alexandria via LeMat-Bulk).

Unit cell a=4.2708 b=4.2708 c=4.2708 alpha=90.00 beta=90.00 gamma=90.00
Last column: nearest neighbours and their distance in Å.
Fractional coordinates of all 5 atoms:
Pa: 0.0000 0.0000 0.0000  6 N 2.14
N: 0.0000 0.0000 0.5000  2 Pa 2.14
N: 0.0000 0.5000 0.0000  2 Pa 2.14
N: 0.5000 0.0000 0.0000  2 Pa 2.14
N: 0.5000 0.5000 0.5000  12 N 3.02

Values from the calculation:
Formation energy from raw total energies in eV per atom: 1.57

***

[5]
# MnHg3Ge

Crystalline MnHg3Ge at its relaxed geometry (PBE, Alexandria via LeMat-Bulk).

Unit cell a=5.3143 b=5.3143 c=5.3143 alpha=90.00 beta=90.00 gamma=90.00
Last column: nearest neighbours and their distance in Å.
Fractional coordinates of all 5 atoms:
Mn: 0.0000 0.0000 0.0000  12 Hg 3.76
Hg: 0.0000 0.5000 0.5000  2 Ge 2.66
Hg: 0.5000 0.0000 0.5000  2 Ge 2.66
Hg: 0.5000 0.5000 0.0000  2 Ge 2.66
Ge: 0.5000 0.5000 0.5000  6 Hg 2.66

Values from the calculation:
ΔE to the lowest computed polymorph in eV per atom: 0.026
ΔE_f in eV/f.u.: 3.411